A plane-wave DFT calculation with GGA-PBE was carried out for Nd6Hg3C after structural relaxation.

a = 6.7307 Å, b = 8.3950 Å, c = 10.4581 Å
α = 90.00°, β = 84.84°, γ = 90.00°
Fractional positions:
Nd 0.3225 0.8527 0.0538
Hg 0.0781 0.6108 0.2378
Hg 0.5781 0.8892 0.7378
Nd 0.8524 0.9470 0.2255
Nd 0.6175 0.2208 0.5651
Hg 0.0000 0.0000 0.5000
Nd 0.8225 0.6473 0.5538
C 0.5000 0.5000 0.5000
Nd 0.1175 0.2792 0.0651
Nd 0.3524 0.5530 0.7255
Nd 0.6775 0.1473 0.9462
C 0.0000 0.0000 0.0000
Nd 0.8825 0.7208 0.9349
Hg 0.9219 0.3892 0.7622
Hg 0.4219 0.1108 0.2622
Hg 0.5000 0.5000 0.0000
Nd 0.6476 0.4470 0.2745
Nd 0.1775 0.3527 0.4462
Nd 0.1476 0.0530 0.7745
Nd 0.3825 0.7792 0.4349

## Properties
Energy above the lowest structure with this stoichiometry: 0 meV/atom
SG: P2_1/c (14)
Crystal system: monoclinic
Calculated density: 8.3 Mg/m³
Formation enthalpy at 0 K: -0.27 eV/atom